P) The following is a DFT calculation (PBE-GGA) of crystalline HoPaSe2 at its relaxed geometry.

Its size of the total moment is 0.003 μB/cell.

The space group is R3m (No. 160, hexagonal axes) and the conventional cell measures 3.7717, 3.7717 and 23.0430 Å, with angles of 90.00, 90.00 and 120.00 degrees. The asymmetric unit holds Ho at (0.0000, 0.0000, 0.0000), Pa at (0.0000, 0.0000, 0.1703), Se at (0.0000, 0.0000, 0.5875) and Se at (0.0000, 0.0000, 0.7498).

Q) The following is a DFT calculation (PBE-GGA) of crystalline HoPaSe2 at its relaxed geometry.

Its size of the total moment is 4.367 μB/cell.

The space group is R-3m (No. 166, hexagonal axes) and the conventional cell measures 3.8629, 3.8629 and 27.7434 Å, with angles of 90.00, 90.00 and 120.00 degrees. The asymmetric unit holds Ho at (0.0000, 0.0000, 0.0000), Pa at (0.0000, 0.0000, 0.5000) and Se at (0.0000, 0.0000, 0.1003).

R) The following is a DFT calculation (PBE-GGA) of crystalline HoPaSe2 at its relaxed geometry.

Its size of the total moment is 1.104 μB/cell.

The space group is P4/mmm (No. 123) and the conventional cell measures 4.979, 4.979 and 3.549 Å, with angles of 90.00, 90.00 and 90.00 degrees. The asymmetric unit holds Ho at (0.000, 0.000, 0.000), Pa at (0.500, 0.500, 0.000) and Se at (0.000, 0.500, 0.500).

S) The following is a DFT calculation (PBE-GGA) of crystalline HoPaSe2 at its relaxed geometry.

Its size of the total moment is 0.796 μB/cell.

The space group is P-3m1 (No. 164) and the conventional cell measures 3.9865, 3.9865 and 20.6271 Å, with angles of 90.00, 90.00 and 120.00 degrees. The asymmetric unit holds Ho at (0.0000, 0.0000, 0.0000), Ho at (0.3333, 0.6667, 0.1662), Pa at (0.0000, 0.0000, 0.5000), Pa at (0.3333, 0.6667, 0.6674), Se at (0.0000, 0.0000, 0.2461), Se at (0.3333, 0.6667, 0.4164) and Se at (0.3333, 0.6667, 0.9177).

Which of them is least stable? Easy: Q).

P) The following is a DFT calculation (PBE-GGA) of crystalline HoPa2Se5 at its relaxed geometry.

Its size of the total moment is 4.899 μB/cell.

The space group is Pbam (No. 55) and the conventional cell measures 8.100, 12.379 and 3.977 Å, with angles of 90.00, 90.00 and 90.00 degrees. The asymmetric unit holds Ho at (0.000, 0.000, 0.000), Pa at (0.023, 0.321, 0.500), Se at (0.000, 0.500, 0.000), Se at (0.175, 0.105, 0.500) and Se at (0.185, 0.804, 0.000).

Q) The following is a DFT calculation (PBE-GGA) of crystalline HoPa2Se5 at its relaxed geometry.

Its size of the total moment is 11.910 μB/cell.

The space group is I4/mcm (No. 140) and the conventional cell measures 7.609, 7.609 and 13.348 Å, with angles of 90.00, 90.00 and 90.00 degrees. The asymmetric unit holds Ho at (0.000, 0.000, 0.250), Pa at (0.148, 0.352, 0.000), Se at (0.000, 0.000, 0.000) and Se at (0.160, 0.340, 0.351).

Which of them is least stable? Easy: Q).

P) The following is a DFT calculation (PBE-GGA) of crystalline HoPaSi at its relaxed geometry.

Its size of the total moment is 0.001 μB/cell.

The space group is P3m1 (No. 156) and the conventional cell measures 4.8316, 4.8316 and 3.5043 Å, with angles of 90.00, 90.00 and 120.00 degrees. The asymmetric unit holds Ho at (0.0000, 0.0000, 0.0000), Pa at (0.3333, 0.6667, 0.5333) and Si at (0.6667, 0.3333, 0.2333).

Q) The following is a DFT calculation (PBE-GGA) of crystalline HoPaSi at its relaxed geometry.

Its size of the total moment is 0.004 μB/cell.

The space group is Cmcm (No. 63) and the conventional cell measures 4.256, 10.765 and 6.194 Å, with angles of 90.00, 90.00 and 90.00 degrees. The asymmetric unit holds Ho at (0.000, 0.000, 0.000), Pa at (0.000, 0.308, 0.250) and Si at (0.000, 0.377, 0.750).

Which of them is least stable? Easy: P).

P) The following is a DFT calculation (PBE-GGA) of crystalline HoPaSi4 at its relaxed geometry.

Its size of the total moment is 0.000 μB/cell.

The space group is F-43m (No. 216) and the conventional cell measures 7.484, 7.484 and 7.484 Å, with angles of 90.00, 90.00 and 90.00 degrees. The asymmetric unit holds Ho at (0.000, 0.000, 0.000), Pa at (0.250, 0.250, 0.250) and Si at (0.127, 0.127, 0.627).

Q) The following is a DFT calculation (PBE-GGA) of crystalline HoPaSi4 at its relaxed geometry.

Its size of the total moment is 0.000 μB/cell.

The space group is Pbam (No. 55) and the conventional cell measures 8.414, 14.385 and 3.934 Å, with angles of 90.00, 90.00 and 90.00 degrees. The asymmetric unit holds Ho at (0.133, 0.084, 0.000), Pa at (0.094, 0.368, 0.000), Si at (0.039, 0.216, 0.500), Si at (0.126, 0.530, 0.500), Si at (0.149, 0.920, 0.500) and Si at (0.185, 0.691, 0.500).

Which of them is least stable? Easy: P).

P) The following is a DFT calculation (PBE-GGA) of crystalline Ho2PaSi at its relaxed geometry.

Its size of the total moment is 0.001 μB/cell.

The space group is R-3m (No. 166, hexagonal axes) and the conventional cell measures 3.3103, 3.3103 and 32.2280 Å, with angles of 90.00, 90.00 and 120.00 degrees. The asymmetric unit holds Ho at (0.0000, 0.0000, 0.1004), Pa at (0.0000, 0.0000, 0.0000) and Si at (0.0000, 0.0000, 0.5000).

Q) The following is a DFT calculation (PBE-GGA) of crystalline Ho2PaSi at its relaxed geometry.

Its size of the total moment is 0.000 μB/cell.

The space group is P4/mmm (No. 123) and the conventional cell measures 4.593, 4.593 and 4.472 Å, with angles of 90.00, 90.00 and 90.00 degrees. The asymmetric unit holds Ho at (0.000, 0.500, 0.000), Pa at (0.000, 0.000, 0.500) and Si at (0.500, 0.500, 0.500).

Which of them is least stable? Easy: P).

P) The following is a DFT calculation (PBE-GGA) of crystalline HoPa2Si at its relaxed geometry.

Its size of the total moment is 0.000 μB/cell.

The space group is P4/mmm (No. 123) and the conventional cell measures 4.304, 4.304 and 4.899 Å, with angles of 90.00, 90.00 and 90.00 degrees. The asymmetric unit holds Ho at (0.000, 0.000, 0.000), Pa at (0.000, 0.500, 0.500) and Si at (0.500, 0.500, 0.000).

Q) The following is a DFT calculation (PBE-GGA) of crystalline HoPa2Si at its relaxed geometry.

Its size of the total moment is 0.001 μB/cell.

The space group is R-3m (No. 166, hexagonal axes) and the conventional cell measures 3.1742, 3.1742 and 33.4944 Å, with angles of 90.00, 90.00 and 120.00 degrees. The asymmetric unit holds Ho at (0.0000, 0.0000, 0.0000), Pa at (0.0000, 0.0000, 0.0964) and Si at (0.0000, 0.0000, 0.5000).

Which of them is least stable? Easy: Q).

P) The following is a DFT calculation (PBE-GGA) of crystalline SmHoPa at its relaxed geometry.

Its size of the total moment is 0.001 μB/cell.

The space group is Cmcm (No. 63) and the conventional cell measures 3.358, 20.895 and 5.115 Å, with angles of 90.00, 90.00 and 90.00 degrees. The asymmetric unit holds Sm at (0.000, 0.118, 0.250), Ho at (0.000, 0.292, 0.250) and Pa at (0.000, 0.467, 0.250).

Q) The following is a DFT calculation (PBE-GGA) of crystalline SmHoPa at its relaxed geometry.

Its size of the total moment is 0.014 μB/cell.

The space group is I4mm (No. 107) and the conventional cell measures 3.405, 3.405 and 15.319 Å, with angles of 90.00, 90.00 and 90.00 degrees. The asymmetric unit holds Sm at (0.000, 0.000, 0.000), Ho at (0.000, 0.000, 0.689) and Pa at (0.000, 0.000, 0.342).

Which of them is least stable? Easy: P).

P) The following is a DFT calculation (PBE-GGA) of crystalline HoPaTe2 at its relaxed geometry.

Its size of the total moment is 0.867 μB/cell.

The space group is P4/mmm (No. 123) and the conventional cell measures 3.752, 3.752 and 7.467 Å, with angles of 90.00, 90.00 and 90.00 degrees. The asymmetric unit holds Ho at (0.000, 0.000, 0.000), Pa at (0.000, 0.000, 0.500) and Te at (0.500, 0.500, 0.255).

Q) The following is a DFT calculation (PBE-GGA) of crystalline HoPaTe2 at its relaxed geometry.

Its size of the total moment is 5.694 μB/cell.

The space group is Fm-3m (No. 225) and the conventional cell measures 7.494, 7.494 and 7.494 Å, with angles of 90.00, 90.00 and 90.00 degrees. The asymmetric unit holds Ho at (0.000, 0.000, 0.000), Pa at (0.000, 0.000, 0.500) and Te at (0.250, 0.250, 0.250).

Which of them is least stable? Easy: Q).

P) The following is a DFT calculation (PBE-GGA) of crystalline Ho2Pa2Te7 at its relaxed geometry.

Its size of the total moment is 3.692 μB/cell.

The space group is Imm2 (No. 44) and the conventional cell measures 4.228, 16.097 and 9.712 Å, with angles of 90.00, 90.00 and 90.00 degrees. The asymmetric unit holds Ho at (0.000, 0.239, 0.000), Pa at (0.000, 0.000, 0.228), Pa at (0.000, 0.500, 0.177), Te at (0.000, 0.000, 0.913), Te at (0.000, 0.109, 0.504), Te at (0.000, 0.319, 0.294) and Te at (0.000, 0.362, 0.682).

Q) The following is a DFT calculation (PBE-GGA) of crystalline Ho2Pa2Te7 at its relaxed geometry.

Its size of the total moment is 2.001 μB/cell.

The space group is P-4m2 (No. 115) and the conventional cell measures 5.221, 5.221 and 14.695 Å, with angles of 90.00, 90.00 and 90.00 degrees. The asymmetric unit holds Ho at (0.000, 0.500, 0.136), Pa at (0.000, 0.500, 0.626), Te at (0.000, 0.000, 0.234), Te at (0.000, 0.000, 0.500), Te at (0.500, 0.500, 0.000), Te at (0.500, 0.500, 0.255) and Te at (0.500, 0.500, 0.500).

Which of them is least stable? Easy: Q).

P) The following is a DFT calculation (PBE-GGA) of crystalline HoThPa at its relaxed geometry.

Its size of the total moment is 0.001 μB/cell.

The space group is P-6m2 (No. 187) and the conventional cell measures 5.5034, 5.5034 and 3.3430 Å, with angles of 90.00, 90.00 and 120.00 degrees. The asymmetric unit holds Ho at (0.0000, 0.0000, 0.0000), Th at (0.6667, 0.3333, 0.5000) and Pa at (0.3333, 0.6667, 0.0000).

Q) The following is a DFT calculation (PBE-GGA) of crystalline HoThPa at its relaxed geometry.

Its size of the total moment is 0.000 μB/cell.

The space group is I4mm (No. 107) and the conventional cell measures 3.383, 3.383 and 15.328 Å, with angles of 90.00, 90.00 and 90.00 degrees. The asymmetric unit holds Ho at (0.000, 0.000, 0.000), Th at (0.000, 0.000, 0.680) and Pa at (0.000, 0.000, 0.339).

R) The following is a DFT calculation (PBE-GGA) of crystalline HoThPa at its relaxed geometry.

Its size of the total moment is 0.000 μB/cell.

The space group is Amm2 (No. 38) and the conventional cell measures 9.145, 6.729 and 11.714 Å, with angles of 90.00, 90.00 and 90.00 degrees. The asymmetric unit holds Ho at (0.000, 0.229, 0.000), Ho at (0.240, 0.000, 0.589), Th at (0.000, 0.000, 0.776), Th at (0.500, 0.000, 0.413), Th at (0.500, 0.234, 0.176), Pa at (0.153, 0.000, 0.254) and Pa at (0.350, 0.000, 0.921).

Which of them is least stable? Easy: R).

P) The following is a DFT calculation (PBE-GGA) of crystalline HoThPa2 at its relaxed geometry.

Its size of the total moment is 0.000 μB/cell.

The space group is P4/mmm (No. 123) and the conventional cell measures 4.708, 4.708 and 4.996 Å, with angles of 90.00, 90.00 and 90.00 degrees. The asymmetric unit holds Ho at (0.000, 0.000, 0.000), Th at (0.500, 0.500, 0.000) and Pa at (0.000, 0.500, 0.500).

Q) The following is a DFT calculation (PBE-GGA) of crystalline HoThPa2 at its relaxed geometry.

Its size of the total moment is 0.001 μB/cell.

The space group is Fm-3m (No. 225) and the conventional cell measures 7.660, 7.660 and 7.660 Å, with angles of 90.00, 90.00 and 90.00 degrees. The asymmetric unit holds Ho at (0.000, 0.000, 0.000), Th at (0.000, 0.000, 0.500) and Pa at (0.250, 0.250, 0.250).

Which of them is least stable? Easy: Q).